A) Crystalline B5C7 at its relaxed geometry. Source: the Alexandria database, functional PBE-GGA.

Calculated values
density: 2.9 g/cm3
DOS(E_F): 2.07 states/eV/cell
volume: 78.3 Å³/f.u.

Cell lengths 2.449, 2.537, 12.604 Å; angles 90.00, 90.00, 90.00 degrees
Fractional positions:
B 0.000 0.000 0.000
B 0.000 0.000 0.311
B 0.000 0.500 0.410
B 0.500 0.000 0.891
B 0.500 0.500 0.518
C 0.000 0.000 0.667
C 0.000 0.500 0.079
C 0.000 0.500 0.743
C 0.500 0.000 0.221
C 0.500 0.000 0.598
C 0.500 0.500 0.152
C 0.500 0.500 0.811

***

B) Crystalline B5C7 at its relaxed geometry. Source: the Alexandria database, functional PBE-GGA.

Calculated values
density: 2.9 g/cm3
DOS(E_F): 2.05 states/eV/cell
volume: 78.1 Å³/f.u.

Cell lengths 6.296, 6.296, 5.119 Å; angles 103.12, 103.12, 23.31 degrees
Fractional positions:
B 0.000 0.000 0.000
B 0.003 0.003 0.469
B 0.096 0.096 0.806
B 0.687 0.687 0.795
B 0.761 0.761 0.134
C 0.103 0.103 0.289
C 0.343 0.343 0.647
C 0.345 0.345 0.155
C 0.413 0.413 0.944
C 0.418 0.418 0.439
C 0.675 0.675 0.327
C 0.768 0.768 0.606

***

What are the relative energies? In meV per atom: A) 0; B) 84.